Entry 1:
# LiAgTe4Ir2, optimized geometry, DFT GGA-PBE
data_LiAgTe4Ir2
_chemical_formula_sum 'Li1 Ag1 Te4 Ir2'
_cell_length_a 7.1923
_cell_length_b 7.1923
_cell_length_c 7.1923
_cell_angle_alpha 126.88
_cell_angle_beta 126.88
_cell_angle_gamma 78.44
_symmetry_space_group_name_H-M 'P 1'
_symmetry_Int_Tables_number 1
_symmetry_space_group_name_Hall 'P 1'
loop_
_atom_site_label
_atom_site_fract_x
_atom_site_fract_y
_atom_site_fract_z
_atom_site_occupancy
Ag1 0.0000 0.0000 0.0000 1
Ir1 0.5000 0.5000 0.0000 1
Ir2 0.7500 0.2500 0.5000 1
Li1 0.2500 0.7500 0.5000 1
Te1 0.6228 0.1555 0.0299 1
Te2 0.8445 0.8744 0.4673 1
Te3 0.4071 0.3772 0.5327 1
Te4 0.1256 0.5929 0.9701 1
# Raw total energy = -4.401 eV per atom


Entry 2:
# Na3Pb2Au2, optimized geometry, DFT GGA-PBE
data_Na3Pb2Au2
_chemical_formula_sum 'Na3 Pb2 Au2'
_cell_length_a 5.0671
_cell_length_b 5.0671
_cell_length_c 8.2184
_cell_angle_alpha 107.61
_cell_angle_beta 107.61
_cell_angle_gamma 59.54
_symmetry_space_group_name_H-M 'P 1'
_symmetry_Int_Tables_number 1
_symmetry_space_group_name_Hall 'P 1'
loop_
_atom_site_label
_atom_site_fract_x
_atom_site_fract_y
_atom_site_fract_z
_atom_site_occupancy
Au1 0.7705 0.7705 0.3047 1
Au2 0.2295 0.2295 0.6953 1
Na1 0.3619 0.3619 0.0853 1
Na2 0.5000 0.5000 0.5000 1
Na3 0.6381 0.6381 0.9147 1
Pb1 0.0964 0.0964 0.2865 1
Pb2 0.9036 0.9036 0.7135 1
# Raw total energy = -2.831 eV per atom


Entry 3:
# ZrZnCdCo, optimized geometry, DFT GGA-PBE
data_ZrZnCdCo
_chemical_formula_sum 'Zr1 Zn1 Cd1 Co1'
_cell_length_a 4.5443
_cell_length_b 4.5443
_cell_length_c 4.5443
_cell_angle_alpha 60.00
_cell_angle_beta 60.00
_cell_angle_gamma 60.00
_symmetry_space_group_name_H-M 'P 1'
_symmetry_Int_Tables_number 1
_symmetry_space_group_name_Hall 'P 1'
loop_
_atom_site_label
_atom_site_fract_x
_atom_site_fract_y
_atom_site_fract_z
_atom_site_occupancy
Cd1 0.5000 0.5000 0.5000 1
Co1 0.7500 0.7500 0.7500 1
Zn1 0.0000 0.0000 0.0000 1
Zr1 0.2500 0.2500 0.2500 1
# Raw total energy = -4.373 eV per atom


Entry 4:
# CuAu, optimized geometry, DFT GGA-PBE
data_CuAu
_chemical_formula_sum 'Cu10 Au10'
_cell_length_a 3.6716
_cell_length_b 4.0226
_cell_length_c 20.3723
_cell_angle_alpha 95.67
_cell_angle_beta 95.17
_cell_angle_gamma 90.00
_symmetry_space_group_name_H-M 'P 1'
_symmetry_Int_Tables_number 1
_symmetry_space_group_name_Hall 'P 1'
loop_
_atom_site_label
_atom_site_fract_x
_atom_site_fract_y
_atom_site_fract_z
_atom_site_occupancy
Au1 0.0250 0.7750 0.0501 1
Au2 0.0750 0.3250 0.1500 1
Au3 0.1250 0.8750 0.2499 1
Au4 0.1747 0.4247 0.3495 1
Au5 0.2239 0.9739 0.4477 1
Au6 0.7761 0.0261 0.5523 1
Au7 0.8253 0.5753 0.6505 1
Au8 0.8750 0.1250 0.7501 1
Au9 0.9250 0.6750 0.8500 1
Au10 0.9750 0.2250 0.9499 1
Cu1 0.5250 0.2750 0.0500 1
Cu2 0.5752 0.8252 0.1504 1
Cu3 0.6250 0.3750 0.2501 1
Cu4 0.6751 0.9251 0.3501 1
Cu5 0.7265 0.4765 0.4529 1
Cu6 0.2735 0.5235 0.5471 1
Cu7 0.3249 0.0749 0.6499 1
Cu8 0.3750 0.6250 0.7499 1
Cu9 0.4248 0.1748 0.8496 1
Cu10 0.4750 0.7250 0.9500 1
# Raw total energy = -3.542 eV per atom


Entry 5:
# DyErZn2In, optimized geometry, DFT GGA-PBE
data_DyErZn2In
_chemical_formula_sum 'Dy1 Er1 Zn2 In1'
_cell_length_a 3.5937
_cell_length_b 7.4111
_cell_length_c 7.4111
_cell_angle_alpha 34.50
_cell_angle_beta 90.00
_cell_angle_gamma 90.00
_symmetry_space_group_name_H-M 'P 1'
_symmetry_Int_Tables_number 1
_symmetry_space_group_name_Hall 'P 1'
loop_
_atom_site_label
_atom_site_fract_x
_atom_site_fract_y
_atom_site_fract_z
_atom_site_occupancy
Dy1 0.0000 0.6258 0.6258 1
Er1 0.0000 0.3741 0.3741 1
In1 0.5000 0.9998 0.9998 1
Zn1 0.5000 0.2032 0.2032 1
Zn2 0.5000 0.7972 0.7972 1
# Raw total energy = -3.304 eV per atom


Entry 6:
# Er2Re3Tc, optimized geometry, DFT GGA-PBE
data_Er2Re3Tc
_chemical_formula_sum 'Er4 Re6 Tc2'
_cell_length_a 5.3538
_cell_length_b 5.3538
_cell_length_c 8.8751
_cell_angle_alpha 90.00
_cell_angle_beta 90.00
_cell_angle_gamma 120.00
_symmetry_space_group_name_H-M 'P 1'
_symmetry_Int_Tables_number 1
_symmetry_space_group_name_Hall 'P 1'
loop_
_atom_site_label
_atom_site_fract_x
_atom_site_fract_y
_atom_site_fract_z
_atom_site_occupancy
Er1 0.6667 0.3333 0.0629 1
Er2 0.6667 0.3333 0.4371 1
Er3 0.3333 0.6667 0.5629 1
Er4 0.3333 0.6667 0.9371 1
Re1 0.1711 0.3421 0.2500 1
Re2 0.1711 0.8289 0.2500 1
Re3 0.6579 0.8289 0.2500 1
Re4 0.3421 0.1711 0.7500 1
Re5 0.8289 0.1711 0.7500 1
Re6 0.8289 0.6579 0.7500 1
Tc1 0.0000 0.0000 0.0000 1
Tc2 0.0000 0.0000 0.5000 1
# Raw total energy = -9.712 eV per atom


Entry 7:
# PrDyCo2Si2, optimized geometry, DFT GGA-PBE
data_PrDyCo2Si2
_chemical_formula_sum 'Pr1 Dy1 Co2 Si2'
_cell_length_a 3.9964
_cell_length_b 3.9964
_cell_length_c 6.9759
_cell_angle_alpha 90.00
_cell_angle_beta 90.00
_cell_angle_gamma 90.00
_symmetry_space_group_name_H-M 'P 1'
_symmetry_Int_Tables_number 1
_symmetry_space_group_name_Hall 'P 1'
loop_
_atom_site_label
_atom_site_fract_x
_atom_site_fract_y
_atom_site_fract_z
_atom_site_occupancy
Co1 0.5000 0.0000 0.0047 1
Co2 0.0000 0.5000 0.0047 1
Dy1 0.0000 0.0000 0.3040 1
Pr1 0.5000 0.5000 0.6749 1
Si1 0.5000 0.5000 0.1791 1
Si2 0.0000 0.0000 0.8326 1
# Raw total energy = -6.443 eV per atom


Entry 8:
# Y2Er3S7, optimized geometry, DFT GGA-PBE
data_Y2Er3S7
_chemical_formula_sum 'Y2 Er3 S7'
_cell_length_a 6.6711
_cell_length_b 6.6711
_cell_length_c 11.5598
_cell_angle_alpha 103.88
_cell_angle_beta 103.88
_cell_angle_gamma 32.95
_symmetry_space_group_name_H-M 'P 1'
_symmetry_Int_Tables_number 1
_symmetry_space_group_name_Hall 'P 1'
loop_
_atom_site_label
_atom_site_fract_x
_atom_site_fract_y
_atom_site_fract_z
_atom_site_occupancy
Er1 0.6999 0.6999 0.3133 1
Er2 0.0000 0.0000 0.5000 1
Er3 0.3001 0.3001 0.6867 1
S1 0.5000 0.5000 0.0000 1
S2 0.2582 0.2582 0.1495 1
S3 0.0429 0.0429 0.2867 1
S4 0.3411 0.3411 0.4491 1
S5 0.6589 0.6589 0.5509 1
S6 0.9571 0.9571 0.7133 1
S7 0.7418 0.7418 0.8505 1
Y1 0.8880 0.8880 0.0792 1
Y2 0.1120 0.1120 0.9208 1
# Raw total energy = -6.691 eV per atom


Entry 9:
# Tl8Ir, optimized geometry, DFT GGA-PBE
data_Tl8Ir
_chemical_formula_sum 'Tl8 Ir1'
_cell_length_a 10.3624
_cell_length_b 10.3624
_cell_length_c 3.1344
_cell_angle_alpha 90.00
_cell_angle_beta 90.00
_cell_angle_gamma 120.00
_symmetry_space_group_name_H-M 'P 1'
_symmetry_Int_Tables_number 1
_symmetry_space_group_name_Hall 'P 1'
loop_
_atom_site_label
_atom_site_fract_x
_atom_site_fract_y
_atom_site_fract_z
_atom_site_occupancy
Ir1 0.0000 0.0000 0.5000 1
Tl1 0.3214 0.1607 0.0000 1
Tl2 0.8393 0.1607 0.0000 1
Tl3 0.1607 0.3214 0.0000 1
Tl4 0.6667 0.3333 0.0000 1
Tl5 0.3333 0.6667 0.0000 1
Tl6 0.8393 0.6786 0.0000 1
Tl7 0.1607 0.8393 0.0000 1
Tl8 0.6786 0.8393 0.0000 1
# Raw total energy = -2.682 eV per atom


Entry 10:
# YLuTe, optimized geometry, DFT GGA-PBE
data_YLuTe
_chemical_formula_sum 'Y1 Lu1 Te1'
_cell_length_a 5.0342
_cell_length_b 5.0342
_cell_length_c 5.0342
_cell_angle_alpha 60.00
_cell_angle_beta 60.00
_cell_angle_gamma 60.00
_symmetry_space_group_name_H-M 'P 1'
_symmetry_Int_Tables_number 1
_symmetry_space_group_name_Hall 'P 1'
loop_
_atom_site_label
_atom_site_fract_x
_atom_site_fract_y
_atom_site_fract_z
_atom_site_occupancy
Lu1 0.2500 0.2500 0.2500 1
Te1 0.0000 0.0000 0.0000 1
Y1 0.7500 0.7500 0.7500 1
# Raw total energy = -5.099 eV per atom


Entry 11:
# AlCo2, optimized geometry, DFT GGA-PBE
data_AlCo2
_chemical_formula_sum 'Al4 Co8'
_cell_length_a 4.6749
_cell_length_b 4.6749
_cell_length_c 7.7919
_cell_angle_alpha 90.00
_cell_angle_beta 90.00
_cell_angle_gamma 121.32
_symmetry_space_group_name_H-M 'P 1'
_symmetry_Int_Tables_number 1
_symmetry_space_group_name_Hall 'P 1'
loop_
_atom_site_label
_atom_site_fract_x
_atom_site_fract_y
_atom_site_fract_z
_atom_site_occupancy
Al1 0.0000 0.0000 0.0000 1
Al2 0.8077 0.1923 0.2500 1
Al3 0.0000 0.0000 0.5000 1
Al4 0.1923 0.8077 0.7500 1
Co1 0.3388 0.6612 0.0648 1
Co2 0.3203 0.1883 0.2500 1
Co3 0.8117 0.6797 0.2500 1
Co4 0.3388 0.6612 0.4352 1
Co5 0.6612 0.3388 0.5648 1
Co6 0.1883 0.3203 0.7500 1
Co7 0.6797 0.8117 0.7500 1
Co8 0.6612 0.3388 0.9352 1
# Raw total energy = -6.038 eV per atom